[1]
CoRh | Alexandria via LeMat-Bulk | meta-GGA SCAN | single point on PBEsol structure; total magnetization = 2.71 μB/f.u.; space group = C2/m; formation energy = 0.060 eV per atom
1.0
2.601 0.000 0.000
0.000 5.160 -0.001
-1.301 -1.298 5.402
Co Rh
3 3
direct
0.500 0.500 0.000
0.834 0.657 0.668
0.166 0.343 0.332
0.500 0.000 0.000
0.833 0.178 0.665
0.167 0.822 0.335

=====

[2]
BaCdO2 | Alexandria via LeMat-Bulk | meta-GGA SCAN | single point on PBEsol structure; total magnetization = 0.00 μB/f.u.; space group = I-42d; energy relative to the elements, uncorrected = -182.11 kJ/mol of atoms
1.0
5.491 0.000 0.000
0.000 5.491 0.000
-2.746 -2.746 5.393
O Ba Cd
4 2 2
direct
0.824 0.375 0.250
0.625 0.574 0.750
0.125 0.176 0.750
0.426 0.875 0.250
0.250 0.750 0.500
0.000 0.000 0.000
0.750 0.250 0.500
0.500 0.500 0.000

=====

[3]
SrLaNi2 | Alexandria via LeMat-Bulk | meta-GGA SCAN | single point on PBEsol structure; offset from the most stable computed form = 0 meV/atom; total magnetization = 0.00 μB/f.u.; space group = Amm2; formation energy = -0.102 eV per atom
1.0
3.981 0.000 -0.004
0.000 4.109 0.000
-1.984 0.000 5.763
Sr La Ni
1 1 2
direct
0.522 0.000 0.418
0.251 0.500 0.877
0.919 0.500 0.213
0.808 0.000 0.991

=====

[4]
HoLuMg2 | Alexandria via LeMat-Bulk | meta-GGA SCAN | single point on PBEsol structure; total magnetization = 0.00 μB/f.u.; space group = Fm-3m; formation energy = -0.048 eV per atom
1.0
-1.929 4.821 -0.697
-2.643 1.158 -4.374
-5.173 0.806 0.201
Lu Mg Ho
1 2 1
direct
0.000 0.000 0.000
0.250 0.250 0.250
0.750 0.750 0.750
0.500 0.500 0.500

=====

[5]
Zr3PtS | Alexandria via LeMat-Bulk | meta-GGA SCAN | single point on PBEsol structure; total magnetization = 0.00 μB/f.u.; space group = Pm-3m; energy relative to the elements, uncorrected = -66.85 kJ/mol of atoms
1.0
-2.984 3.122 -1.774
-2.661 -0.373 3.818
2.411 3.451 2.017
Zr Pt S
3 1 1
direct
0.500 0.000 0.000
0.000 0.500 0.000
0.000 0.000 0.500
0.500 0.500 0.500
0.000 0.000 0.000

=====

[6]
RePPtCl2 | Alexandria via LeMat-Bulk | meta-GGA SCAN | single point on PBEsol structure; offset from the most stable computed form = 0 meV/atom; total magnetization = 0.00 μB/f.u.; space group = P4/mmm; energy relative to the elements, uncorrected = 96.80 kJ/mol of atoms
1.0
-1.613 2.606 3.272
1.415 -2.960 3.055
4.217 2.284 0.260
Cl Pt Re P
2 1 1 1
direct
0.500 0.000 0.000
0.000 0.500 0.000
0.500 0.500 0.500
0.000 0.000 0.000
0.000 0.000 0.500

=====

[7]
KCdP | Alexandria via LeMat-Bulk | meta-GGA SCAN | single point on PBEsol structure; total magnetization = 0.00 μB/f.u.; space group = P-6m2; formation energy = -0.449 eV per atom
1.0
-1.228 -1.959 3.678
4.100 -0.362 -1.389
1.249 4.122 2.613
Cd P K
1 1 1
direct
0.000 0.000 0.500
0.667 0.333 0.500
0.333 0.667 0.000

=====

[8]
MnH2I | Alexandria via LeMat-Bulk | meta-GGA SCAN | single point on PBEsol structure; uncorrected energy = -14.591 eV/atom; total magnetization = 4.55 μB/f.u.; space group = Fm-3m
1.0
4.181 0.000 0.000
2.090 3.621 0.000
2.090 1.207 3.414
H I Mn
2 1 1
direct
0.250 0.250 0.250
0.750 0.750 0.750
0.500 0.500 0.500
0.000 0.000 0.000

=====

[9]
WAuO2 | Alexandria via LeMat-Bulk | meta-GGA SCAN | single point on PBEsol structure; total magnetization = 0.00 μB/f.u.; space group = R-3m; energy relative to the elements, uncorrected = -100.19 kJ/mol of atoms
1.0
2.801 0.000 0.000
1.401 2.426 0.000
1.401 0.809 8.154
W O Au
1 2 1
direct
0.500 0.500 0.500
0.885 0.885 0.345
0.115 0.115 0.655
0.000 0.000 0.000

=====

[10]
ZrBRh2Se | Alexandria via LeMat-Bulk | meta-GGA SCAN | single point on PBEsol structure; total magnetization = 0.00 μB/f.u.; space group = P4/mmm; energy relative to the elements, uncorrected = 93.19 kJ/mol of atoms
1.0
4.411 0.000 0.000
0.000 4.411 0.000
0.000 0.000 4.951
Rh Se B Zr
2 1 1 1
direct
0.000 0.500 0.000
0.500 0.000 0.000
0.000 0.000 0.000
0.500 0.500 0.500
0.000 0.000 0.500

=====

[11]
ZrIn2 | Alexandria via LeMat-Bulk | meta-GGA SCAN | single point on PBEsol structure; total magnetization = 0.00 μB/f.u.; space group = Immm; formation energy = -0.159 eV per atom
1.0
3.123 0.000 0.000
0.000 4.096 0.000
-1.562 -2.048 5.164
Zr In
1 2
direct
0.000 0.000 0.000
0.669 0.669 0.337
0.331 0.331 0.663

=====

[12]
LaSc2W | Alexandria via LeMat-Bulk | meta-GGA SCAN | single point on PBEsol structure; total magnetization = 0.00 μB/f.u.; space group = Cmmm; formation energy = 0.339 eV per atom
1.0
3.036 0.011 0.000
-1.050 2.848 0.000
0.000 0.000 10.378
W Sc La
1 2 1
direct
0.500 0.500 0.500
0.000 0.000 0.296
0.000 0.000 0.704
0.500 0.500 0.000

=====

[13]
TiCuF2 | Alexandria via LeMat-Bulk | meta-GGA SCAN | single point on PBEsol structure; total magnetization = 1.65 μB/f.u.; space group = Fm-3m; energy relative to the elements, uncorrected = -121.23 kJ/mol of atoms
1.0
3.972 0.000 0.000
1.986 3.440 0.000
1.986 1.147 3.243
Ti Cu F
1 1 2
direct
0.000 0.000 0.000
0.500 0.500 0.500
0.750 0.750 0.750
0.250 0.250 0.250

=====

[14]
InIr2Rh | Alexandria via LeMat-Bulk | meta-GGA SCAN | single point on PBEsol structure; total magnetization = 0.00 μB/f.u.; space group = Cm; formation energy = -0.018 eV per atom
1.0
-0.158 0.217 2.805
2.135 -4.117 -0.977
3.819 2.956 -0.013
Ir In Rh
2 1 1
direct
0.004 0.008 0.031
0.749 0.498 0.237
0.250 0.500 0.738
0.497 0.994 0.494

=====

[15]
Zr3TcSn | Alexandria via LeMat-Bulk | meta-GGA SCAN | single point on PBEsol structure; total magnetization = 2.74 μB/f.u.; space group = Pm-3m; formation energy = 1.320 eV per atom
1.0
5.145 0.000 0.000
0.000 5.145 0.000
0.000 0.000 5.145
Tc Zr Sn
1 3 1
direct
0.500 0.500 0.500
0.500 0.000 0.000
0.000 0.500 0.000
0.000 0.000 0.500
0.000 0.000 0.000

=====

[16]
BaIr2Rh | Alexandria via LeMat-Bulk | meta-GGA SCAN | single point on PBEsol structure; offset from the most stable computed form = 1070 meV/atom; total magnetization = 0.00 μB/f.u.; space group = I4/mmm; formation energy = 0.938 eV per atom
1.0
-3.633 0.709 1.843
0.935 -2.781 2.913
3.133 4.090 -0.035
Ir Rh Ba
2 1 1
direct
0.250 0.750 0.500
0.750 0.250 0.500
0.500 0.500 0.000
0.000 0.000 0.000

=====

[17]
ZrCr3As | Alexandria via LeMat-Bulk | meta-GGA SCAN | single point on PBEsol structure; total magnetization = 6.56 μB/f.u.; space group = Pm-3m; formation energy = 0.508 eV per atom
1.0
-0.248 4.024 -1.719
-3.797 0.658 2.087
2.174 1.607 3.449
As Cr Zr
1 3 1
direct
0.000 0.000 0.000
0.500 0.000 0.000
0.000 0.500 0.000
0.000 0.000 0.500
0.500 0.500 0.500

=====

[18]
LaMnCo2W | Alexandria via LeMat-Bulk | meta-GGA SCAN | single point on PBEsol structure; total magnetization = 5.33 μB/f.u.; space group = P4/mmm; formation energy = 0.786 eV per atom
1.0
4.443 0.000 0.000
0.000 4.355 0.000
0.000 0.000 4.355
Co La Mn W
2 1 1 1
direct
0.000 0.000 0.500
0.000 0.500 0.000
0.500 0.500 0.500
0.000 0.000 0.000
0.500 0.000 0.000

=====

[19]
LiSbTe2Au | Alexandria via LeMat-Bulk | meta-GGA SCAN | single point on PBEsol structure; total magnetization = 0.00 μB/f.u.; space group = P4/mmm; energy relative to the elements, uncorrected = 46.34 kJ/mol of atoms
1.0
-0.184 3.823 2.968
-4.137 -1.796 2.058
2.725 -2.457 3.334
Sb Te Li Au
1 2 1 1
direct
0.500 0.000 0.000
0.000 0.500 0.000
0.000 0.000 0.500
0.000 0.000 0.000
0.500 0.500 0.500

=====

[20]
HgPtAu2 | Alexandria via LeMat-Bulk | meta-GGA SCAN | single point on PBEsol structure; total magnetization = 0.00 μB/f.u.; space group = P4/mmm; formation energy = 0.036 eV per atom
1.0
-4.002 -0.323 0.691
0.112 -3.900 -1.173
0.763 -1.145 3.880
Au Pt Hg
2 1 1
direct
0.500 0.000 0.000
0.000 0.500 0.000
0.000 0.000 0.500
0.500 0.500 0.500

=====

[21]
Be2SiIr | Alexandria via LeMat-Bulk | meta-GGA SCAN | single point on PBEsol structure; total magnetization = 0.00 μB/f.u.; space group = R3m; energy relative to the elements, uncorrected = 0.55 kJ/mol of atoms
1.0
2.704 0.000 0.000
1.352 2.342 0.000
1.352 0.781 7.411
Be Ir Si
2 1 1
direct
0.748 0.748 0.755
0.001 0.001 0.996
0.498 0.498 0.506
0.252 0.252 0.244

=====

[22]
SiPbCl2 | Alexandria via LeMat-Bulk | meta-GGA SCAN | single point on PBEsol structure; total magnetization = 0.00 μB/f.u.; space group = R-3m; energy relative to the elements, uncorrected = -7.78 kJ/mol of atoms
1.0
3.364 0.000 0.000
1.682 2.914 0.000
1.682 0.971 8.972
Si Cl Pb
1 2 1
direct
0.000 0.000 0.000
0.742 0.742 0.774
0.258 0.258 0.226
0.500 0.500 0.500

=====

[23]
KCdNi | Alexandria via LeMat-Bulk | meta-GGA SCAN | single point on PBEsol structure; total magnetization = 0.00 μB/f.u.; space group = P3m1; formation energy = 0.645 eV per atom
1.0
-2.397 1.740 0.872
-0.462 -2.905 -0.939
0.826 -2.436 7.133
Cd K Ni
1 1 1
direct
0.000 0.000 0.052
0.333 0.667 0.640
0.667 0.333 0.309

=====

[24]
In2MoW | Alexandria via LeMat-Bulk | meta-GGA SCAN | single point on PBEsol structure; offset from the most stable computed form = 226 meV/atom; total magnetization = 0.00 μB/f.u.; space group = C2/m; formation energy = 0.577 eV per atom
1.0
-1.107 2.632 0.113
-4.084 -2.595 -2.401
0.654 -0.931 5.281
In W Mo
2 1 1
direct
0.000 0.500 0.000
0.000 0.000 0.500
0.500 0.500 0.500
0.500 0.000 0.000

=====

[25]
ZrIn2Sb | Alexandria via LeMat-Bulk | meta-GGA SCAN | single point on PBEsol structure; total magnetization = 0.00 μB/f.u.; space group = R3m; energy relative to the elements, uncorrected = -11.61 kJ/mol of atoms
1.0
-2.124 -2.195 -1.620
1.300 -2.603 -1.867
-0.380 -7.039 6.347
Sb In Zr
1 2 1
direct
0.504 0.504 0.488
0.998 0.998 0.006
0.750 0.750 0.751
0.248 0.248 0.255

=====

[26]
YSb2Ru | Alexandria via LeMat-Bulk | meta-GGA SCAN | single point on PBEsol structure; total magnetization = 0.00 μB/f.u.; space group = P4/mmm; energy relative to the elements, uncorrected = -20.55 kJ/mol of atoms
1.0
-1.253 -0.784 3.175
-2.798 -3.469 -1.961
3.584 -3.238 0.615
Ru Sb Y
1 2 1
direct
0.500 0.500 0.500
0.000 0.000 0.500
0.000 0.500 0.000
0.500 0.000 0.000